Record 1
The following is a DFT calculation (GGA-PBE) of a geometry-optimized Na5UTe4 structure.

Results
**Space-group type**: C2/m (12)
**Crystal system**: monoclinic
**Size of the total moment**: 3.00 μB/f.u.
**Density**: 4.12 Mg/m³
**Total DFT energy (no corrections)**: -38.4 eV per cell
**Calculated volume**: 348.1 Å³ per cell
**E_form (uncorrected)**: -76.4 kJ/mol of atoms

a b c (Å): 9.843 9.843 8.531
angles (deg): 115.34 115.34 27.99
Fractional positions:
1 Na 0.000 0.000 0.000
2 Na 0.323 0.323 0.092
3 Na 0.323 0.323 0.552
4 Na 0.677 0.677 0.448
5 Na 0.677 0.677 0.908
6 U 0.000 0.000 0.500
7 Te 0.193 0.193 0.694
8 Te 0.500 0.500 0.249
9 Te 0.500 0.500 0.751
10 Te 0.807 0.807 0.306

---

Record 2
The following is a DFT calculation (GGA-PBE) of a geometry-optimized NaU4Te8 structure.

Results
**Space-group type**: F-43m (216)
**Crystal system**: cubic
**Size of the total moment**: 9.00 μB/f.u.
**Density**: 6.40 Mg/m³
**Total DFT energy (no corrections)**: -79.8 eV per cell
**Calculated volume**: 518.0 Å³ per cell
**E_form (uncorrected)**: -60.5 kJ/mol of atoms

a b c (Å): 9.015 9.015 9.015
angles (deg): 60.00 60.00 60.00
Fractional positions:
1 Na 0.000 0.000 0.000
2 U 0.378 0.378 0.378
3 U 0.378 0.378 0.866
4 U 0.378 0.866 0.378
5 U 0.866 0.378 0.378
6 Te 0.136 0.136 0.136
7 Te 0.136 0.136 0.592
8 Te 0.136 0.592 0.136
9 Te 0.142 0.619 0.619
10 Te 0.592 0.136 0.136
11 Te 0.619 0.142 0.619
12 Te 0.619 0.619 0.142
13 Te 0.619 0.619 0.619

---

Record 3
The following is a DFT calculation (GGA-PBE) of a geometry-optimized Na3UTe4 structure.

Results
**E above lowest polymorph**: 0.000 eV/atom
**Space-group type**: P2/c (13)
**Crystal system**: monoclinic
**Size of the total moment**: 1.00 μB/f.u.
**Density**: 5.17 Mg/m³
**Total DFT energy (no corrections)**: -68.7 eV per cell
**Calculated volume**: 525.3 Å³ per cell
**E_form (uncorrected)**: -78.6 kJ/mol of atoms

a b c (Å): 7.898 9.148 7.732
angles (deg): 90.00 109.91 90.00
Fractional positions:
1 Na 0.000 0.111 0.250
2 Na 0.000 0.371 0.750
3 Na 0.000 0.629 0.250
4 Na 0.000 0.889 0.750
5 Na 0.500 0.118 0.750
6 Na 0.500 0.882 0.250
7 U 0.500 0.366 0.250
8 U 0.500 0.634 0.750
9 Te 0.258 0.144 0.019
10 Te 0.258 0.856 0.519
11 Te 0.278 0.391 0.499
12 Te 0.278 0.609 0.999
13 Te 0.722 0.391 0.001
14 Te 0.722 0.609 0.501
15 Te 0.742 0.144 0.481
16 Te 0.742 0.856 0.981

---

Record 4
The following is a DFT calculation (GGA-PBE) of a geometry-optimized Na2UTe5 structure.

Results
**Space-group type**: Cm (8)
**Crystal system**: monoclinic
**Size of the total moment**: 1.43 μB/f.u.
**Density**: 5.73 Mg/m³
**Total DFT energy (no corrections)**: -67.4 eV per cell
**Calculated volume**: 534.3 Å³ per cell
**E_form (uncorrected)**: -49.0 kJ/mol of atoms

a b c (Å): 8.717 8.097 8.631
angles (deg): 90.00 118.72 90.00
Fractional positions:
1 Na 0.000 0.000 0.000
2 Na 0.047 0.500 0.768
3 Na 0.500 0.500 0.000
4 Na 0.547 0.000 0.768
5 U 0.431 0.500 0.482
6 U 0.931 0.000 0.482
7 Te 0.048 0.500 0.161
8 Te 0.239 0.256 0.610
9 Te 0.239 0.744 0.610
10 Te 0.313 0.263 0.162
11 Te 0.313 0.737 0.162
12 Te 0.548 0.000 0.161
13 Te 0.739 0.244 0.610
14 Te 0.739 0.756 0.610
15 Te 0.813 0.237 0.162
16 Te 0.813 0.763 0.162

---

Record 5
The following is a DFT calculation (GGA-PBE) of a geometry-optimized Na2U3Te6 structure.

Results
**Space-group type**: C2/m (12)
**Crystal system**: monoclinic
**Size of the total moment**: 8.00 μB/f.u.
**Density**: 6.64 Mg/m³
**Total DFT energy (no corrections)**: -63.5 eV per cell
**Calculated volume**: 381.7 Å³ per cell
**E_form (uncorrected)**: -71.7 kJ/mol of atoms

a b c (Å): 7.572 7.572 8.092
angles (deg): 98.97 98.97 119.99
Fractional positions:
1 Na 0.167 0.833 0.000
2 Na 0.833 0.167 0.000
3 U 0.000 0.000 0.500
4 U 0.333 0.667 0.500
5 U 0.667 0.333 0.500
6 Te 0.081 0.412 0.735
7 Te 0.258 0.258 0.266
8 Te 0.412 0.081 0.735
9 Te 0.588 0.919 0.265
10 Te 0.742 0.742 0.734
11 Te 0.919 0.588 0.265

---

Record 6
The following is a DFT calculation (GGA-PBE) of a geometry-optimized NaUTe2 structure.

Results
**Space-group type**: P4/mmm (123)
**Crystal system**: tetragonal
**Size of the total moment**: 2.93 μB/f.u.
**Density**: 7.45 Mg/m³
**Total DFT energy (no corrections)**: -21.7 eV per cell
**Calculated volume**: 115.1 Å³ per cell
**E_form (uncorrected)**: -67.5 kJ/mol of atoms

a b c (Å): 3.799 3.799 7.976
angles (deg): 90.00 90.00 90.00
Fractional positions:
1 Na 0.000 0.000 0.000
2 U 0.000 0.000 0.500
3 Te 0.500 0.500 0.273
4 Te 0.500 0.500 0.727

---

Record 7
The following is a DFT calculation (GGA-PBE) of a geometry-optimized Na2U2Te5 structure.

Results
**E above lowest polymorph**: 0.297 eV/atom
**Space-group type**: Fmmm (69)
**Crystal system**: orthorhombic
**Size of the total moment**: 5.52 μB/f.u.
**Density**: 7.39 Mg/m³
**Total DFT energy (no corrections)**: -45.0 eV per cell
**Calculated volume**: 260.6 Å³ per cell
**E_form (uncorrected)**: -43.8 kJ/mol of atoms

a b c (Å): 10.231 9.699 5.506
angles (deg): 79.37 68.70 31.93
Fractional positions:
1 Na 0.247 0.247 0.753
2 Na 0.753 0.753 0.247
3 U 0.355 0.645 0.355
4 U 0.645 0.355 0.645
5 Te 0.000 0.000 0.000
6 Te 0.142 0.142 0.358
7 Te 0.358 0.358 0.142
8 Te 0.642 0.642 0.858
9 Te 0.858 0.858 0.642

---

Record 8
The following is a DFT calculation (GGA-PBE) of a geometry-optimized Na3UTe4 structure.

Results
**E above lowest polymorph**: 0.025 eV/atom
**Space-group type**: Cmmm (65)
**Crystal system**: orthorhombic
**Size of the total moment**: 0.98 μB/f.u.
**Density**: 5.22 Mg/m³
**Total DFT energy (no corrections)**: -68.3 eV per cell
**Calculated volume**: 519.7 Å³ per cell
**E_form (uncorrected)**: -76.2 kJ/mol of atoms

a b c (Å): 9.114 12.665 4.502
angles (deg): 90.00 90.00 90.00
Fractional positions:
1 Na 0.000 0.000 0.000
2 Na 0.250 0.250 0.500
3 Na 0.250 0.750 0.500
4 Na 0.500 0.500 0.000
5 Na 0.750 0.250 0.500
6 Na 0.750 0.750 0.500
7 U 0.000 0.500 0.000
8 U 0.500 0.000 0.000
9 Te 0.000 0.269 0.000
10 Te 0.000 0.731 0.000
11 Te 0.228 0.500 0.500
12 Te 0.272 0.000 0.500
13 Te 0.500 0.231 0.000
14 Te 0.500 0.769 0.000
15 Te 0.728 0.000 0.500
16 Te 0.772 0.500 0.500

---

Question: Which of these has the lowest E_form (uncorrected)?
Answer: number 3

---

Question: Number 3 is which compound?
Answer: Na3UTe4

---

Question: What is the E_form (uncorrected) in the seventh record?
Answer: -43.8 kJ/mol of atoms

---

Question: Among the records above, which one has the lowest density?
Answer: Na5UTe4